# 1
Compound: Sr2N2Cl
Source: the Alexandria database
Functional: PBE-GGA
Structure: optimized geometry

Results
M_tot (μB/atom): 0.000
Calculated volume (Å³ per atom): 20.48
Electronic total energy (eV per atom): -5.540
Raw formation energy (meV per atom): -1168

The structure in CIF format:
```
data_Sr2N2Cl
_cell_length_a 7.661
_cell_length_b 7.661
_cell_length_c 6.845
_cell_angle_alpha 101.82
_cell_angle_beta 101.82
_cell_angle_gamma 31.45
_symmetry_space_group_name_H-M 'P 1'
_symmetry_Int_Tables_number 1
_symmetry_space_group_name_Hall 'P 1'
loop_
_atom_site_label
_atom_site_fract_x
_atom_site_fract_y
_atom_site_fract_z
Sr1 0.049 0.653 0.849
Sr2 0.347 0.951 0.651
Sr3 0.653 0.049 0.349
Sr4 0.951 0.347 0.151
N1 0.141 0.412 0.475
N2 0.412 0.141 0.975
N3 0.588 0.859 0.025
N4 0.859 0.588 0.525
Cl1 0.259 0.741 0.250
Cl2 0.741 0.259 0.750
```

---

# 2
Compound: Sr3Zn3Pt2
Source: the Alexandria database
Functional: PBE-GGA
Structure: optimized geometry

Results
M_tot (μB/atom): 0.000
Calculated volume (Å³ per atom): 25.09
Electronic total energy (eV per atom): -3.224

The structure in CIF format:
```
data_Sr3Zn3Pt2
_cell_length_a 6.078
_cell_length_b 6.078
_cell_length_c 16.070
_cell_angle_alpha 90.00
_cell_angle_beta 90.00
_cell_angle_gamma 137.45
_symmetry_space_group_name_H-M 'P 1'
_symmetry_Int_Tables_number 1
_symmetry_space_group_name_Hall 'P 1'
loop_
_atom_site_label
_atom_site_fract_x
_atom_site_fract_y
_atom_site_fract_z
Sr1 0.070 0.930 0.605
Sr2 0.070 0.930 0.895
Sr3 0.361 0.639 0.750
Sr4 0.639 0.361 0.250
Sr5 0.930 0.070 0.105
Sr6 0.930 0.070 0.395
Zn1 0.337 0.663 0.250
Zn2 0.342 0.658 0.535
Zn3 0.342 0.658 0.965
Zn4 0.658 0.342 0.035
Zn5 0.658 0.342 0.465
Zn6 0.663 0.337 0.750
Pt1 0.220 0.780 0.110
Pt2 0.220 0.780 0.390
Pt3 0.780 0.220 0.610
Pt4 0.780 0.220 0.890
```

---

# 3
Compound: NdAgPb2
Source: the Alexandria database
Functional: PBE-GGA
Structure: optimized geometry

Results
M_tot (μB/atom): 0.000
Calculated volume (Å³ per atom): 26.90
Electronic total energy (eV per atom): -4.096

The structure in CIF format:
```
data_NdAgPb2
_cell_length_a 4.831
_cell_length_b 4.831
_cell_length_c 4.611
_cell_angle_alpha 90.00
_cell_angle_beta 90.00
_cell_angle_gamma 90.00
_symmetry_space_group_name_H-M 'P 1'
_symmetry_Int_Tables_number 1
_symmetry_space_group_name_Hall 'P 1'
loop_
_atom_site_label
_atom_site_fract_x
_atom_site_fract_y
_atom_site_fract_z
Nd1 0.000 0.000 0.000
Ag1 0.500 0.500 0.000
Pb1 0.000 0.500 0.500
Pb2 0.500 0.000 0.500
```

---

# 4
Compound: Y2NiBr
Source: the Alexandria database
Functional: PBE-GGA
Structure: optimized geometry

Results
Energy relative to the lowest polymorph listed for this composition (eV per atom): 1.122
M_tot (μB/atom): 0.000
Calculated volume (Å³ per atom): 22.97
Electronic total energy (eV per atom): -4.776
Raw formation energy (meV per atom): 319

The structure in CIF format:
```
data_Y2NiBr
_cell_length_a 5.065
_cell_length_b 5.065
_cell_length_c 5.065
_cell_angle_alpha 60.00
_cell_angle_beta 60.00
_cell_angle_gamma 60.00
_symmetry_space_group_name_H-M 'P 1'
_symmetry_Int_Tables_number 1
_symmetry_space_group_name_Hall 'P 1'
loop_
_atom_site_label
_atom_site_fract_x
_atom_site_fract_y
_atom_site_fract_z
Y1 0.000 0.000 0.000
Y2 0.250 0.250 0.250
Ni1 0.750 0.750 0.750
Br1 0.500 0.500 0.500
```

---

# 5
Compound: AlCdS2
Source: the Alexandria database
Functional: PBE-GGA
Structure: optimized geometry

Results
Energy relative to the lowest polymorph listed for this composition (eV per atom): 0.132
M_tot (μB/atom): 0.000
Calculated volume (Å³ per atom): 23.66
Electronic total energy (eV per atom): -3.806
Raw formation energy (meV per atom): -577

The structure in CIF format:
```
data_AlCdS2
_cell_length_a 6.425
_cell_length_b 6.425
_cell_length_c 6.425
_cell_angle_alpha 119.35
_cell_angle_beta 119.35
_cell_angle_gamma 91.12
_symmetry_space_group_name_H-M 'P 1'
_symmetry_Int_Tables_number 1
_symmetry_space_group_name_Hall 'P 1'
loop_
_atom_site_label
_atom_site_fract_x
_atom_site_fract_y
_atom_site_fract_z
Al1 0.000 0.000 0.000
Al2 0.750 0.250 0.500
Cd1 0.250 0.750 0.500
Cd2 0.500 0.500 0.000
S1 0.052 0.125 0.427
S2 0.375 0.948 0.073
S3 0.698 0.625 0.573
S4 0.875 0.302 0.927
```

---

# 6
Compound: Cs2RhO4
Source: the Alexandria database
Functional: PBE-GGA
Structure: optimized geometry

Results
Energy relative to the lowest polymorph listed for this composition (eV per atom): 0.115
M_tot (μB/atom): 0.354
Calculated volume (Å³ per atom): 18.87
Electronic total energy (eV per atom): -4.958
Raw formation energy (meV per atom): -830

The structure in CIF format:
```
data_Cs2RhO4
_cell_length_a 8.250
_cell_length_b 8.250
_cell_length_c 8.250
_cell_angle_alpha 150.95
_cell_angle_beta 150.95
_cell_angle_gamma 41.55
_symmetry_space_group_name_H-M 'P 1'
_symmetry_Int_Tables_number 1
_symmetry_space_group_name_Hall 'P 1'
loop_
_atom_site_label
_atom_site_fract_x
_atom_site_fract_y
_atom_site_fract_z
Cs1 0.147 0.147 0.000
Cs2 0.853 0.853 0.000
Rh1 0.500 0.500 0.000
O1 0.000 0.500 0.500
O2 0.378 0.378 0.000
O3 0.500 0.000 0.500
O4 0.622 0.622 0.000
```

---

# 7
Compound: TlSn2Pb
Source: the Alexandria database
Functional: PBE-GGA
Structure: optimized geometry

Results
M_tot (μB/atom): 0.000
Calculated volume (Å³ per atom): 32.55
Electronic total energy (eV per atom): -3.373

The structure in CIF format:
```
data_TlSn2Pb
_cell_length_a 7.155
_cell_length_b 7.155
_cell_length_c 7.155
_cell_angle_alpha 38.96
_cell_angle_beta 38.96
_cell_angle_gamma 38.96
_symmetry_space_group_name_H-M 'P 1'
_symmetry_Int_Tables_number 1
_symmetry_space_group_name_Hall 'P 1'
loop_
_atom_site_label
_atom_site_fract_x
_atom_site_fract_y
_atom_site_fract_z
Tl1 0.000 0.000 0.000
Sn1 0.423 0.423 0.423
Sn2 0.593 0.593 0.593
Pb1 0.176 0.176 0.176
```

---

# 8
Compound: UReTc
Source: the Alexandria database
Functional: PBE-GGA
Structure: optimized geometry

Results
Energy relative to the lowest polymorph listed for this composition (eV per atom): 0.229
M_tot (μB/atom): 0.000
Calculated volume (Å³ per atom): 17.97
Electronic total energy (eV per atom): -11.159

The structure in CIF format:
```
data_UReTc
_cell_length_a 4.764
_cell_length_b 4.764
_cell_length_c 4.764
_cell_angle_alpha 134.62
_cell_angle_beta 134.62
_cell_angle_gamma 66.12
_symmetry_space_group_name_H-M 'P 1'
_symmetry_Int_Tables_number 1
_symmetry_space_group_name_Hall 'P 1'
loop_
_atom_site_label
_atom_site_fract_x
_atom_site_fract_y
_atom_site_fract_z
U1 0.000 0.000 0.000
Re1 0.686 0.686 0.000
Tc1 0.306 0.306 0.000
```

---

# 9
Compound: La2Zn6Cu9
Source: the Alexandria database
Functional: PBE-GGA
Structure: optimized geometry

Results
M_tot (μB/atom): 0.000
Calculated volume (Å³ per atom): 17.38
Electronic total energy (eV per atom): -3.278

The structure in CIF format:
```
data_La2Zn6Cu9
_cell_length_a 5.278
_cell_length_b 5.278
_cell_length_c 12.247
_cell_angle_alpha 90.00
_cell_angle_beta 90.00
_cell_angle_gamma 120.00
_symmetry_space_group_name_H-M 'P 1'
_symmetry_Int_Tables_number 1
_symmetry_space_group_name_Hall 'P 1'
loop_
_atom_site_label
_atom_site_fract_x
_atom_site_fract_y
_atom_site_fract_z
La1 0.000 0.000 0.180
La2 0.000 0.000 0.820
Zn1 0.333 0.667 0.165
Zn2 0.333 0.667 0.500
Zn3 0.333 0.667 0.835
Zn4 0.667 0.333 0.165
Zn5 0.667 0.333 0.500
Zn6 0.667 0.333 0.835
Cu1 0.000 0.500 0.000
Cu2 0.000 0.500 0.335
Cu3 0.000 0.500 0.665
Cu4 0.500 0.000 0.000
Cu5 0.500 0.000 0.335
Cu6 0.500 0.000 0.665
Cu7 0.500 0.500 0.000
Cu8 0.500 0.500 0.335
Cu9 0.500 0.500 0.665
```

---

# 10
Compound: LaGa8Co2
Source: the Alexandria database
Functional: PBE-GGA
Structure: optimized geometry

Results
M_tot (μB/atom): 0.000
Calculated volume (Å³ per atom): 22.60
Electronic total energy (eV per atom): -3.941

The structure in CIF format:
```
data_LaGa8Co2
_cell_length_a 5.646
_cell_length_b 5.646
_cell_length_c 7.798
_cell_angle_alpha 90.00
_cell_angle_beta 90.00
_cell_angle_gamma 90.00
_symmetry_space_group_name_H-M 'P 1'
_symmetry_Int_Tables_number 1
_symmetry_space_group_name_Hall 'P 1'
loop_
_atom_site_label
_atom_site_fract_x
_atom_site_fract_y
_atom_site_fract_z
La1 0.000 0.000 0.000
Ga1 0.253 0.253 0.321
Ga2 0.253 0.253 0.679
Ga3 0.253 0.747 0.321
Ga4 0.253 0.747 0.679
Ga5 0.747 0.253 0.321
Ga6 0.747 0.253 0.679
Ga7 0.747 0.747 0.321
Ga8 0.747 0.747 0.679
Co1 0.000 0.500 0.500
Co2 0.500 0.000 0.500
```

---

# 11
Compound: LaZrP2Rh5
Source: the Alexandria database
Functional: PBE-GGA
Structure: optimized geometry

Results
M_tot (μB/atom): 0.000
Calculated volume (Å³ per atom): 19.02
Electronic total energy (eV per atom): -7.611

The structure in CIF format:
```
data_LaZrP2Rh5
_cell_length_a 4.063
_cell_length_b 4.063
_cell_length_c 10.371
_cell_angle_alpha 90.00
_cell_angle_beta 90.00
_cell_angle_gamma 90.00
_symmetry_space_group_name_H-M 'P 1'
_symmetry_Int_Tables_number 1
_symmetry_space_group_name_Hall 'P 1'
loop_
_atom_site_label
_atom_site_fract_x
_atom_site_fract_y
_atom_site_fract_z
La1 0.000 0.000 0.000
Zr1 0.000 0.000 0.500
P1 0.500 0.500 0.221
P2 0.500 0.500 0.779
Rh1 0.000 0.500 0.319
Rh2 0.000 0.500 0.681
Rh3 0.500 0.000 0.319
Rh4 0.500 0.000 0.681
Rh5 0.500 0.500 0.000
```

---

# 12
Compound: La8Ru3Cl4
Source: the Alexandria database
Functional: PBE-GGA
Structure: optimized geometry

Results
M_tot (μB/atom): 0.000
Calculated volume (Å³ per atom): 32.42
Electronic total energy (eV per atom): -5.961
Raw formation energy (meV per atom): -985

The structure in CIF format:
```
data_La8Ru3Cl4
_cell_length_a 9.218
_cell_length_b 9.218
_cell_length_c 9.218
_cell_angle_alpha 54.76
_cell_angle_beta 54.76
_cell_angle_gamma 54.76
_symmetry_space_group_name_H-M 'P 1'
_symmetry_Int_Tables_number 1
_symmetry_space_group_name_Hall 'P 1'
loop_
_atom_site_label
_atom_site_fract_x
_atom_site_fract_y
_atom_site_fract_z
La1 0.212 0.744 0.744
La2 0.231 0.231 0.231
La3 0.256 0.256 0.788
La4 0.256 0.788 0.256
La5 0.744 0.212 0.744
La6 0.744 0.744 0.212
La7 0.769 0.769 0.769
La8 0.788 0.256 0.256
Ru1 0.000 0.000 0.500
Ru2 0.000 0.500 0.000
Ru3 0.500 0.000 0.000
Cl1 0.000 0.000 0.000
Cl2 0.360 0.360 0.360
Cl3 0.500 0.500 0.500
Cl4 0.640 0.640 0.640
```